Record 1
Computed, not measured: a relaxed structure of PrTePd4 at the GGA-PBE level of DFT.

a b c (Å): 7.771 7.771 7.771
angles (deg): 90.00 90.00 90.00
Space group F-43m (No. 216)
Inequivalent atoms, fractional coordinates:
Pr 0.000 0.000 0.000
Te 0.250 0.250 0.750
Pd 0.126 0.126 0.374

Record 2
Computed, not measured: a relaxed structure of Pr7Te2Pd2 at the GGA-PBE level of DFT.

a b c (Å): 4.099 16.644 10.014
angles (deg): 90.00 90.00 90.00
Space group Imm2 (No. 44)
Inequivalent atoms, fractional coordinates:
Pr 0.000 0.000 0.000
Pr 0.000 0.127 0.585
Pr 0.000 0.319 0.382
Pr 0.000 0.357 0.741
Te 0.000 0.000 0.335
Te 0.000 0.500 0.238
Pd 0.000 0.237 0.075

Record 3
Computed, not measured: a relaxed structure of Pr2TePd at the GGA-PBE level of DFT.

a b c (Å): 4.2950 4.2950 22.9666
angles (deg): 90.00 90.00 120.00
Space group R-3m (No. 166, hexagonal axes)
Inequivalent atoms, fractional coordinates:
Pr 0.0000 0.0000 0.2396
Te 0.0000 0.0000 0.0000
Pd 0.0000 0.0000 0.5000

Computed properties:
The distance to the lowest polymorph of the same formula is 0.08 eV per formula unit.

Record 4
Computed, not measured: a relaxed structure of Pr2Te3Pd at the GGA-PBE level of DFT.

a b c (Å): 12.714 4.474 12.235
angles (deg): 90.00 90.00 90.00
Space group Pnma (No. 62)
Inequivalent atoms, fractional coordinates:
Pr 0.036 0.250 0.189
Pr 0.204 0.250 0.486
Te 0.042 0.750 0.380
Te 0.115 0.250 0.935
Te 0.197 0.750 0.681
Pd 0.215 0.750 0.254

Record 5
Computed, not measured: a relaxed structure of PrTePd at the GGA-PBE level of DFT.

a b c (Å): 4.134 4.134 9.147
angles (deg): 90.00 90.00 90.00
Space group I4mm (No. 107)
Inequivalent atoms, fractional coordinates:
Pr 0.000 0.000 0.000
Te 0.000 0.000 0.348
Pd 0.000 0.000 0.655

Record 6
Computed, not measured: a relaxed structure of Pr5Te4Pd at the GGA-PBE level of DFT.

a b c (Å): 4.490 4.490 31.704
angles (deg): 90.00 90.00 90.00
Space group I4/mmm (No. 139)
Inequivalent atoms, fractional coordinates:
Pr 0.000 0.000 0.000
Pr 0.000 0.000 0.205
Pr 0.000 0.000 0.409
Te 0.000 0.000 0.102
Te 0.000 0.000 0.306
Pd 0.000 0.000 0.500

Record 7
Computed, not measured: a relaxed structure of PrTe2Pd4 at the GGA-PBE level of DFT.

a b c (Å): 8.043 8.043 4.411
angles (deg): 90.00 90.00 90.00
Space group P4_2/mnm (No. 136)
Inequivalent atoms, fractional coordinates:
Pr 0.000 0.000 0.000
Te 0.216 0.216 0.500
Pd 0.098 0.649 0.500

Computed properties:
The distance to the lowest polymorph of the same formula is 0.00 eV per formula unit.

Record 8
Computed, not measured: a relaxed structure of Pr8Te2Pd3 at the GGA-PBE level of DFT.

a b c (Å): 16.122 8.374 7.257
angles (deg): 90.00 106.57 90.00
Space group C2/m (No. 12)
Inequivalent atoms, fractional coordinates:
Pr 0.099 0.000 0.384
Pr 0.102 0.500 0.402
Pr 0.107 0.246 0.903
Te 0.249 0.500 0.838
Pd 0.000 0.245 0.500
Pd 0.000 0.500 0.000

| no. | raw formation energy (eV/atom) | Fermi-level density of states (states/eV/atom) |
| --- | --- | --- |
| 1 | -0.532 | 1.017 |
| 2 | -0.796 | 0.906 |
| 3 | -1.034 | 0.552 |
| 4 | -1.284 | 0.027 |
| 5 | -0.826 | 0.476 |
| 6 | -1.263 | 0.729 |
| 7 | -0.700 | 0.803 |
| 8 | -0.604 | 0.986 |